GGA-PBE Tc8Ru, optimized geometry; total magnetization = 0.0000 μB per atom; electronic total energy = -91.6 eV per cell
1.0
-4.114 4.114 1.933
4.114 -4.114 1.933
4.114 4.114 -1.933
Tc Ru
8 1
Direct
0.000 0.332 0.332
0.000 0.668 0.668
0.332 0.000 0.332
0.335 0.335 0.669
0.335 0.665 0.000
0.665 0.335 0.000
0.665 0.665 0.331
0.668 0.000 0.668
0.000 0.000 0.000